Record 1
Compound: Mn5FeGe3
Source: Alexandria via LeMat-Bulk
Functional: PBE
Structure: relaxed

Values from the calculation:
Energy = -7.62 eV/atom

a b c (Å): 5.047 7.240 7.240
angles (deg): 120.00 90.00 90.00
Atoms (fractional coordinates):
Ge: 0.750 0.000 0.636
Ge: 0.750 0.636 0.000
Ge: 0.750 0.364 0.364
Ge: 0.250 0.636 0.636
Ge: 0.250 0.000 0.364
Ge: 0.250 0.364 0.000
Mn: 0.250 0.298 0.298
Mn: 0.250 0.000 0.702
Mn: 0.750 0.702 0.702
Mn: 0.250 0.702 0.000
Mn: 0.000 0.667 0.333
Mn: 0.000 0.333 0.667
Mn: 0.500 0.333 0.667
Mn: 0.500 0.667 0.333
Mn: 0.750 0.000 0.298
Mn: 0.750 0.298 0.000
Fe: 0.000 0.000 0.000
Fe: 0.500 0.000 0.000


Record 2
Compound: MnFe2Ge2
Source: Alexandria via LeMat-Bulk
Functional: PBE
Structure: relaxed

Values from the calculation:
Energy = -6.88 eV/atom

a b c (Å): 6.748 6.748 2.728
angles (deg): 90.00 90.00 90.00
Atoms (fractional coordinates):
Mn: 0.500 0.500 0.000
Mn: 0.000 0.000 0.000
Ge: 0.346 0.846 0.000
Ge: 0.154 0.346 0.000
Ge: 0.846 0.654 0.000
Ge: 0.654 0.154 0.000
Fe: 0.646 0.854 0.500
Fe: 0.146 0.646 0.500
Fe: 0.354 0.146 0.500
Fe: 0.854 0.354 0.500


Record 3
Compound: MnFe3Ge
Source: Alexandria via LeMat-Bulk
Functional: PBE
Structure: relaxed

Values from the calculation:
Energy = -6.74 eV/atom

a b c (Å): 4.264 4.264 4.264
angles (deg): 90.00 90.00 90.00
Atoms (fractional coordinates):
Fe: 0.000 0.000 0.500
Fe: 0.500 0.000 0.000
Fe: 0.000 0.500 0.000
Ge: 0.500 0.500 0.500
Mn: 0.000 0.000 0.000


Record 4
Compound: Mn3Fe2Ge2
Source: Alexandria via LeMat-Bulk
Functional: PBE
Structure: relaxed

Values from the calculation:
Energy = -7.68 eV/atom

a b c (Å): 4.546 6.748 5.825
angles (deg): 138.39 99.88 107.23
Atoms (fractional coordinates):
Ge: 0.691 0.809 0.496
Ge: 0.309 0.191 0.504
Mn: 0.401 0.099 0.870
Mn: 0.000 0.500 0.000
Mn: 0.599 0.901 0.130
Fe: 0.124 0.375 0.309
Fe: 0.876 0.625 0.691


Record 5
Compound: MnFe5Ge3
Source: Alexandria via LeMat-Bulk
Functional: PBE
Structure: relaxed

Values from the calculation:
Energy = -7.33 eV/atom

a b c (Å): 5.005 7.063 7.063
angles (deg): 120.00 90.00 89.99
Atoms (fractional coordinates):
Ge: 0.298 0.328 0.000
Ge: 0.298 0.000 0.328
Ge: 0.702 0.672 0.000
Ge: 0.702 0.328 0.328
Ge: 0.298 0.672 0.672
Ge: 0.702 0.000 0.672
Fe: 0.500 0.667 0.333
Fe: 0.809 0.661 0.661
Fe: 0.192 0.000 0.661
Fe: 0.000 0.667 0.333
Fe: 0.808 0.000 0.339
Fe: 0.192 0.661 0.000
Fe: 0.191 0.339 0.339
Fe: 0.500 0.333 0.667
Fe: 0.808 0.339 0.000
Fe: 0.000 0.333 0.667
Mn: 0.500 0.000 0.000
Mn: 0.000 0.000 0.000


Record 6
Compound: Mn2FeGe
Source: Alexandria via LeMat-Bulk
Functional: PBE
Structure: relaxed

Values from the calculation:
Energy = -7.78 eV/atom

a b c (Å): 2.891 2.891 5.596
angles (deg): 90.00 90.00 90.00
Atoms (fractional coordinates):
Fe: 0.500 0.500 0.000
Mn: 0.000 0.000 0.755
Mn: 0.000 0.000 0.245
Ge: 0.500 0.500 0.500


Record 7
Compound: Mn2Fe5Ge2
Source: Alexandria via LeMat-Bulk
Functional: PBE
Structure: relaxed

Values from the calculation:
Energy = -7.78 eV/atom

a b c (Å): 4.072 4.749 6.588
angles (deg): 113.97 108.00 90.00
Atoms (fractional coordinates):
Mn: 0.557 0.330 0.115
Mn: 0.443 0.670 0.885
Ge: 0.876 0.315 0.751
Ge: 0.124 0.685 0.249
Fe: 0.000 0.000 0.000
Fe: 0.659 0.994 0.319
Fe: 0.222 0.324 0.444
Fe: 0.341 0.006 0.681
Fe: 0.778 0.676 0.556


Record 8
Compound: Mn3Fe3Ge
Source: Alexandria via LeMat-Bulk
Functional: PBE
Structure: relaxed

Values from the calculation:
Energy = -8.01 eV/atom

a b c (Å): 6.103 6.103 6.103
angles (deg): 64.06 64.06 64.06
Atoms (fractional coordinates):
Mn: 0.969 0.273 0.434
Mn: 0.434 0.969 0.273
Mn: 0.727 0.566 0.031
Mn: 0.031 0.727 0.566
Mn: 0.566 0.031 0.727
Mn: 0.273 0.434 0.969
Ge: 0.372 0.372 0.372
Ge: 0.628 0.628 0.628
Fe: 0.101 0.265 0.825
Fe: 0.175 0.899 0.735
Fe: 0.265 0.825 0.101
Fe: 0.735 0.175 0.899
Fe: 0.825 0.101 0.265
Fe: 0.899 0.735 0.175


Record 9
Compound: Mn2FeGe
Source: Alexandria via LeMat-Bulk
Functional: PBE
Structure: relaxed

Values from the calculation:
Energy = -7.67 eV/atom

a b c (Å): 3.965 3.965 4.551
angles (deg): 64.18 64.18 60.00
Atoms (fractional coordinates):
Ge: 0.685 0.685 0.944
Mn: 0.261 0.261 0.217
Mn: 0.075 0.075 0.776
Fe: 0.479 0.479 0.563


Record 10
Compound: Mn2FeGe
Source: Alexandria via LeMat-Bulk
Functional: PBE
Structure: relaxed

Values from the calculation:
Energy = -7.93 eV/atom

a b c (Å): 3.577 3.686 3.686
angles (deg): 90.00 90.00 90.00
Atoms (fractional coordinates):
Fe: 0.500 0.500 0.500
Ge: 0.500 0.000 0.000
Mn: 0.000 0.500 0.000
Mn: 0.000 0.000 0.500


Record 11
Compound: MnFe3Ge3
Source: Alexandria via LeMat-Bulk
Functional: PBE
Structure: relaxed

Values from the calculation:
Energy = -6.77 eV/atom

a b c (Å): 4.433 6.859 6.859
angles (deg): 120.00 90.00 90.00
Atoms (fractional coordinates):
Ge: 0.250 0.278 0.042
Ge: 0.750 0.042 0.764
Ge: 0.250 0.764 0.722
Ge: 0.750 0.236 0.278
Ge: 0.750 0.722 0.958
Ge: 0.250 0.958 0.236
Fe: 0.750 0.899 0.359
Fe: 0.750 0.460 0.101
Fe: 0.250 0.540 0.899
Fe: 0.750 0.641 0.540
Fe: 0.250 0.101 0.641
Fe: 0.250 0.359 0.460
Mn: 0.250 0.667 0.333
Mn: 0.750 0.333 0.667


Record 12
Compound: Mn2FeGe5
Source: Alexandria via LeMat-Bulk
Functional: PBE
Structure: relaxed

Values from the calculation:
Energy = -6.33 eV/atom

a b c (Å): 5.689 5.689 13.750
angles (deg): 90.00 90.00 90.00
Atoms (fractional coordinates):
Ge: 0.839 0.803 0.152
Ge: 0.197 0.839 0.848
Ge: 0.176 0.324 0.750
Ge: 0.676 0.176 0.250
Ge: 0.339 0.697 0.652
Ge: 0.303 0.339 0.348
Ge: 0.661 0.303 0.652
Ge: 0.803 0.161 0.848
Ge: 0.730 0.844 0.553
Ge: 0.324 0.824 0.250
Ge: 0.156 0.730 0.447
Ge: 0.161 0.197 0.152
Ge: 0.229 0.656 0.053
Ge: 0.697 0.661 0.348
Ge: 0.824 0.676 0.750
Ge: 0.844 0.270 0.447
Ge: 0.771 0.344 0.053
Ge: 0.344 0.229 0.947
Ge: 0.270 0.156 0.553
Ge: 0.656 0.771 0.947
Mn: 0.000 0.500 0.250
Mn: 0.500 0.500 0.172
Mn: 0.500 0.500 0.500
Mn: 0.000 0.000 0.000
Mn: 0.500 0.000 0.750
Mn: 0.000 0.000 0.328
Mn: 0.500 0.500 0.828
Mn: 0.000 0.000 0.672
Fe: 0.500 0.000 0.414
Fe: 0.000 0.500 0.914
Fe: 0.500 0.000 0.086
Fe: 0.000 0.500 0.586


Record 13
Compound: Mn2Fe7Ge2
Source: Alexandria via LeMat-Bulk
Functional: PBE
Structure: relaxed

Values from the calculation:
Energy = -7.76 eV/atom

a b c (Å): 4.409 6.270 6.270
angles (deg): 83.98 116.89 116.89
Atoms (fractional coordinates):
Ge: 0.500 0.232 0.768
Ge: 0.500 0.768 0.232
Fe: 0.638 0.413 0.413
Fe: 0.826 0.080 0.591
Fe: 0.000 0.000 0.000
Fe: 0.362 0.587 0.587
Fe: 0.174 0.409 0.920
Fe: 0.826 0.591 0.080
Fe: 0.174 0.920 0.409
Mn: 0.877 0.222 0.222
Mn: 0.123 0.778 0.778


Record 14
Compound: MnFe3Ge
Source: Alexandria via LeMat-Bulk
Functional: PBE
Structure: relaxed

Values from the calculation:
Energy = -7.16 eV/atom

a b c (Å): 4.643 4.646 6.982
angles (deg): 90.00 90.00 90.00
Atoms (fractional coordinates):
Fe: 0.000 0.500 0.664
Fe: 0.500 0.500 0.000
Fe: 0.500 0.000 0.500
Fe: 0.000 0.000 0.836
Fe: 0.000 0.000 0.164
Fe: 0.000 0.500 0.336
Mn: 0.500 0.500 0.500
Mn: 0.500 0.000 0.000
Ge: 0.000 0.500 0.000
Ge: 0.000 0.000 0.500


Record 15
Compound: Mn8Fe3Ge3
Source: Alexandria via LeMat-Bulk
Functional: PBE
Structure: relaxed

Values from the calculation:
Energy = -7.87 eV/atom

a b c (Å): 3.864 6.948 6.948
angles (deg): 82.30 73.85 73.85
Atoms (fractional coordinates):
Mn: 0.352 0.923 0.374
Mn: 0.141 0.235 0.482
Mn: 0.648 0.077 0.626
Mn: 0.352 0.374 0.923
Mn: 0.859 0.518 0.765
Mn: 0.859 0.765 0.518
Mn: 0.648 0.626 0.077
Mn: 0.141 0.482 0.235
Ge: 0.500 0.500 0.500
Ge: 0.209 0.791 0.791
Ge: 0.791 0.209 0.209
Fe: 0.500 0.000 0.000
Fe: 0.000 0.153 0.847
Fe: 0.000 0.847 0.153


Record 16
Compound: MnFe6Ge6
Source: Alexandria via LeMat-Bulk
Functional: PBE
Structure: relaxed

Values from the calculation:
Energy = -6.84 eV/atom

a b c (Å): 5.026 6.431 6.431
angles (deg): 77.07 67.00 67.00
Atoms (fractional coordinates):
Ge: 0.000 0.663 0.337
Ge: 0.327 0.673 0.673
Ge: 0.673 0.327 0.327
Ge: 0.339 0.161 0.161
Ge: 0.000 0.337 0.663
Ge: 0.661 0.839 0.839
Fe: 0.500 0.000 0.500
Fe: 0.000 0.500 0.000
Fe: 0.500 0.254 0.746
Fe: 0.500 0.500 0.000
Fe: 0.500 0.746 0.254
Fe: 0.000 0.000 0.500
Mn: 0.000 0.000 0.000


Record 17
Compound: MnFe5Ge
Source: Alexandria via LeMat-Bulk
Functional: PBE
Structure: relaxed

Values from the calculation:
Energy = -7.76 eV/atom

a b c (Å): 4.337 4.337 4.964
angles (deg): 90.00 90.00 109.89
Atoms (fractional coordinates):
Fe: 0.000 0.500 0.761
Fe: 0.500 0.000 0.761
Fe: 0.000 0.000 0.500
Fe: 0.500 0.000 0.239
Fe: 0.000 0.500 0.239
Mn: 0.000 0.000 0.000
Ge: 0.500 0.500 0.500


Record 18
Compound: Mn2FeGe
Source: Alexandria via LeMat-Bulk
Functional: PBE
Structure: relaxed

Values from the calculation:
Energy = -7.40 eV/atom

a b c (Å): 6.663 6.663 5.334
angles (deg): 51.35 51.35 90.00
Atoms (fractional coordinates):
Mn: 0.625 0.125 0.250
Mn: 0.125 0.625 0.250
Mn: 0.375 0.375 0.750
Mn: 0.875 0.875 0.750
Fe: 0.250 0.750 0.500
Fe: 0.500 0.500 0.000
Ge: 0.000 0.000 0.000
Ge: 0.750 0.250 0.500


Record 19
Compound: MnFe2Ge2
Source: Alexandria via LeMat-Bulk
Functional: PBE
Structure: relaxed

Values from the calculation:
Energy = -7.17 eV/atom

a b c (Å): 3.912 5.029 6.788
angles (deg): 90.00 90.00 90.00
Atoms (fractional coordinates):
Ge: 0.500 0.750 0.189
Ge: 0.000 0.750 0.625
Ge: 0.500 0.250 0.811
Ge: 0.000 0.250 0.375
Mn: 0.000 0.500 0.000
Mn: 0.000 0.000 0.000
Fe: 0.500 0.750 0.834
Fe: 0.500 0.250 0.166
Fe: 0.500 0.500 0.500
Fe: 0.500 0.000 0.500


Record 20
Compound: MnFe8Ge2
Source: Alexandria via LeMat-Bulk
Functional: PBE
Structure: relaxed

Values from the calculation:
Energy = -7.64 eV/atom

a b c (Å): 5.262 4.722 6.977
angles (deg): 109.78 120.62 90.00
Atoms (fractional coordinates):
Fe: 0.185 0.238 0.477
Fe: 0.250 0.663 0.851
Fe: 0.754 0.403 0.805
Fe: 0.250 0.188 0.851
Fe: 0.750 0.337 0.149
Fe: 0.750 0.812 0.149
Fe: 0.246 0.597 0.195
Fe: 0.815 0.762 0.523
Mn: 0.000 0.000 0.000
Ge: 0.441 0.824 0.647
Ge: 0.559 0.176 0.353


Record 21
Compound: Mn2Fe3Ge
Source: Alexandria via LeMat-Bulk
Functional: PBE
Structure: relaxed

Values from the calculation:
Energy = -8.06 eV/atom

a b c (Å): 3.945 3.947 10.861
angles (deg): 79.55 123.01 89.97
Atoms (fractional coordinates):
Mn: 0.110 0.213 0.573
Mn: 0.141 0.536 0.927
Mn: 0.859 0.464 0.073
Mn: 0.890 0.787 0.427
Fe: 0.631 0.040 0.921
Fe: 0.126 0.875 0.251
Fe: 0.874 0.125 0.749
Fe: 0.621 0.710 0.581
Fe: 0.369 0.960 0.079
Fe: 0.379 0.290 0.419
Ge: 0.625 0.375 0.250
Ge: 0.375 0.625 0.750


Total moment in μB/atom, matching the order above: 1.49; 0.32; 1.15; 1.60; 0.97; 0.57; 1.70; 0.59; 0.53; 1.51; 0.12; 0.00; 1.81; 2.06; 0.41; 1.10; 1.47; 1.90; 1.10; 1.30; 1.26